# LaNi2, relaxed, DFT PBE
data_LaNi2
_space_group_name_H-M_alt 'P 1'
_space_group_IT_number 1
_cell_length_a 3.4087
_cell_length_b 5.2447
_cell_length_c 3.4087
_cell_angle_alpha 71.04
_cell_angle_beta 90.00
_cell_angle_gamma 108.96
loop_
_space_group_symop_operation_xyz
'x,y,z'
loop_
_atom_site_label
_atom_site_type_symbol
_atom_site_fract_x
_atom_site_fract_y
_atom_site_fract_z
Ni1 Ni 0.7106 0.4213 0.2894
La1 La 0.0000 0.0000 0.0000
Ni2 Ni 0.2894 0.5787 0.7106
# DOS at the Fermi energy = 3.94 states/eV per cell
# formation enthalpy at 0 K = -46 meV per atom
# calculated total energy = -5.542 eV per atom
# SG = No. 139

=====

# AlCdPdPt, relaxed, DFT PBE
data_AlCdPdPt
_space_group_name_H-M_alt 'P 1'
_space_group_IT_number 1
_cell_length_a 4.5027
_cell_length_b 4.5027
_cell_length_c 4.5027
_cell_angle_alpha 60.00
_cell_angle_beta 60.00
_cell_angle_gamma 60.00
loop_
_space_group_symop_operation_xyz
'x,y,z'
loop_
_atom_site_label
_atom_site_type_symbol
_atom_site_fract_x
_atom_site_fract_y
_atom_site_fract_z
Al1 Al 0.5000 0.5000 0.5000
Pt1 Pt 0.7500 0.7500 0.7500
Pd1 Pd 0.2500 0.2500 0.2500
Cd1 Cd 0.0000 0.0000 0.0000
# DOS at the Fermi energy = 1.73 states/eV per cell
# formation enthalpy at 0 K = -592 meV per atom
# energy above the lowest structure with this stoichiometry = 126.9 meV per atom
# calculated total energy = -4.565 eV per atom
# SG = No. 216

=====

# Dy2Ge4Pt3Au, relaxed, DFT PBE
data_Dy2Ge4Pt3Au
_space_group_name_H-M_alt 'P 1'
_space_group_IT_number 1
_cell_length_a 4.3196
_cell_length_b 4.3196
_cell_length_c 10.2606
_cell_angle_alpha 90.00
_cell_angle_beta 90.00
_cell_angle_gamma 90.00
loop_
_space_group_symop_operation_xyz
'x,y,z'
loop_
_atom_site_label
_atom_site_type_symbol
_atom_site_fract_x
_atom_site_fract_y
_atom_site_fract_z
Au1 Au 0.5000 0.5000 0.5000
Pt1 Pt 0.0000 0.0000 0.5000
Pt2 Pt 0.0000 0.5000 0.1253
Dy1 Dy 0.0000 0.5000 0.7463
Ge1 Ge 0.0000 0.0000 0.0000
Ge2 Ge 0.0000 0.5000 0.3610
Ge3 Ge 0.5000 0.5000 0.0000
Dy2 Dy 0.5000 0.0000 0.2537
Ge4 Ge 0.5000 0.0000 0.6390
Pt3 Pt 0.5000 0.0000 0.8747
# DOS at the Fermi energy = 4.44 states/eV per cell
# formation enthalpy at 0 K = -782 meV per atom
# calculated total energy = -5.690 eV per atom
# SG = No. 115

=====

# Pr4Ga3Co, relaxed, DFT PBE
data_Pr4Ga3Co
_space_group_name_H-M_alt 'P 1'
_space_group_IT_number 1
_cell_length_a 4.3708
_cell_length_b 4.2878
_cell_length_c 10.8984
_cell_angle_alpha 90.00
_cell_angle_beta 90.00
_cell_angle_gamma 90.00
loop_
_space_group_symop_operation_xyz
'x,y,z'
loop_
_atom_site_label
_atom_site_type_symbol
_atom_site_fract_x
_atom_site_fract_y
_atom_site_fract_z
Pr1 Pr 0.5000 0.5000 0.3387
Co1 Co 0.5000 0.5000 0.0621
Pr2 Pr 0.0000 0.5000 0.8712
Ga1 Ga 0.0000 0.0000 0.4272
Pr3 Pr 0.5000 0.0000 0.6452
Ga2 Ga 0.0000 0.5000 0.5700
Ga3 Ga 0.5000 0.0000 0.9428
Pr4 Pr 0.0000 0.0000 0.1427
# DOS at the Fermi energy = 8.47 states/eV per cell
# formation enthalpy at 0 K = -423 meV per atom
# calculated total energy = -4.836 eV per atom
# SG = No. 25

=====

# CsN2F2, relaxed, DFT PBE
data_CsN2F2
_space_group_name_H-M_alt 'P 1'
_space_group_IT_number 1
_cell_length_a 4.0632
_cell_length_b 4.0632
_cell_length_c 6.4674
_cell_angle_alpha 90.00
_cell_angle_beta 90.00
_cell_angle_gamma 90.00
loop_
_space_group_symop_operation_xyz
'x,y,z'
loop_
_atom_site_label
_atom_site_type_symbol
_atom_site_fract_x
_atom_site_fract_y
_atom_site_fract_z
N1 N 0.0000 0.5000 0.0000
F1 F 0.0000 0.0000 0.5000
N2 N 0.5000 0.0000 0.0000
F2 F 0.0000 0.0000 0.0000
Cs1 Cs 0.5000 0.5000 0.5000
# DOS at the Fermi energy = 3.62 states/eV per cell
# energy above the lowest structure with this stoichiometry = 1848.8 meV per atom
# E_form (uncorrected) = 0.91 eV per atom
# calculated total energy = -3.335 eV per atom
# SG = No. 123

=====

# CeAu12, relaxed, DFT PBE
data_CeAu12
_space_group_name_H-M_alt 'P 1'
_space_group_IT_number 1
_cell_length_a 8.0906
_cell_length_b 8.0906
_cell_length_c 8.0906
_cell_angle_alpha 60.00
_cell_angle_beta 60.00
_cell_angle_gamma 60.00
loop_
_space_group_symop_operation_xyz
'x,y,z'
loop_
_atom_site_label
_atom_site_type_symbol
_atom_site_fract_x
_atom_site_fract_y
_atom_site_fract_z
Au1 Au 0.5000 0.8393 0.1607
Au2 Au 0.8393 0.1607 0.5000
Au3 Au 0.8393 0.5000 0.1607
Au4 Au 0.5000 0.5000 0.1607
Au5 Au 0.5000 0.1607 0.5000
Ce1 Ce 0.0000 0.0000 0.0000
Au6 Au 0.5000 0.8393 0.5000
Au7 Au 0.5000 0.1607 0.8393
Au8 Au 0.1607 0.8393 0.5000
Au9 Au 0.1607 0.5000 0.8393
Au10 Au 0.1607 0.5000 0.5000
Au11 Au 0.5000 0.5000 0.8393
Au12 Au 0.8393 0.5000 0.5000
# DOS at the Fermi energy = 18.46 states/eV per cell
# formation enthalpy at 0 K = 435 meV per atom
# energy above the lowest structure with this stoichiometry = 593.2 meV per atom
# calculated total energy = -3.047 eV per atom
# SG = No. 225

=====

# Mg15Sc, relaxed, DFT PBE
data_Mg15Sc
_space_group_name_H-M_alt 'P 1'
_space_group_IT_number 1
_cell_length_a 6.4354
_cell_length_b 6.4354
_cell_length_c 10.2719
_cell_angle_alpha 90.00
_cell_angle_beta 90.00
_cell_angle_gamma 120.00
loop_
_space_group_symop_operation_xyz
'x,y,z'
loop_
_atom_site_label
_atom_site_type_symbol
_atom_site_fract_x
_atom_site_fract_y
_atom_site_fract_z
Mg1 Mg 0.9932 0.4966 0.0000
Mg2 Mg 0.8351 0.6702 0.7522
Mg3 Mg 0.3333 0.6667 0.7562
Mg4 Mg 0.4995 0.5005 0.5000
Mg5 Mg 0.5034 0.4966 0.0000
Mg6 Mg 0.3298 0.1649 0.7522
Mg7 Mg 0.0009 0.5005 0.5000
Mg8 Mg 0.8351 0.1649 0.7522
Mg9 Mg 0.8351 0.1649 0.2478
Mg10 Mg 0.0000 0.0000 0.5000
Mg11 Mg 0.5034 0.0068 0.0000
Mg12 Mg 0.8351 0.6702 0.2478
Sc1 Sc 0.0000 0.0000 0.0000
Mg13 Mg 0.3333 0.6667 0.2438
Mg14 Mg 0.3298 0.1649 0.2478
Mg15 Mg 0.4995 0.9991 0.5000
# DOS at the Fermi energy = 8.33 states/eV per cell
# formation enthalpy at 0 K = -7 meV per atom
# calculated total energy = -1.898 eV per atom
# SG = No. 187

=====

# PrNp2N3, relaxed, DFT PBE
data_PrNp2N3
_space_group_name_H-M_alt 'P 1'
_space_group_IT_number 1
_cell_length_a 3.4929
_cell_length_b 5.0356
_cell_length_c 6.1132
_cell_angle_alpha 114.32
_cell_angle_beta 106.60
_cell_angle_gamma 90.00
loop_
_space_group_symop_operation_xyz
'x,y,z'
loop_
_atom_site_label
_atom_site_type_symbol
_atom_site_fract_x
_atom_site_fract_y
_atom_site_fract_z
Np1 Np 0.1652 0.1652 0.8304
N1 N 0.5000 0.0000 0.5000
N2 N 0.8135 0.3135 0.1270
Np2 Np 0.8348 0.8348 0.1696
Pr1 Pr 0.5000 0.5000 0.5000
N3 N 0.1865 0.6865 0.8730
# DOS at the Fermi energy = 11.81 states/eV per cell
# E_form (uncorrected) = -1.16 eV per atom
# calculated total energy = -10.431 eV per atom
# SG = No. 71

=====

# ZnSn2Au2, relaxed, DFT PBE
data_ZnSn2Au2
_space_group_name_H-M_alt 'P 1'
_space_group_IT_number 1
_cell_length_a 4.2560
_cell_length_b 5.8680
_cell_length_c 10.3800
_cell_angle_alpha 122.72
_cell_angle_beta 90.00
_cell_angle_gamma 90.00
loop_
_space_group_symop_operation_xyz
'x,y,z'
loop_
_atom_site_label
_atom_site_type_symbol
_atom_site_fract_x
_atom_site_fract_y
_atom_site_fract_z
Zn1 Zn 0.2500 0.1402 0.0712
Zn2 Zn 0.7500 0.8598 0.9288
Sn1 Sn 0.7500 0.6197 0.1440
Au1 Au 0.7500 0.3809 0.6607
Au2 Au 0.2500 0.8234 0.7625
Au3 Au 0.7500 0.1766 0.2375
Sn2 Sn 0.2500 0.1763 0.4320
Au4 Au 0.2500 0.6191 0.3393
Sn3 Sn 0.2500 0.3803 0.8560
Sn4 Sn 0.7500 0.8237 0.5680
# DOS at the Fermi energy = 3.62 states/eV per cell
# formation enthalpy at 0 K = -124 meV per atom
# energy above the lowest structure with this stoichiometry = 0.0 meV per atom
# calculated total energy = -3.291 eV per atom
# SG = No. 11

=====

# LiEr2Si4Ir3, relaxed, DFT PBE
data_LiEr2Si4Ir3
_space_group_name_H-M_alt 'P 1'
_space_group_IT_number 1
_cell_length_a 4.1236
_cell_length_b 4.1236
_cell_length_c 9.8493
_cell_angle_alpha 90.00
_cell_angle_beta 90.00
_cell_angle_gamma 90.00
loop_
_space_group_symop_operation_xyz
'x,y,z'
loop_
_atom_site_label
_atom_site_type_symbol
_atom_site_fract_x
_atom_site_fract_y
_atom_site_fract_z
Si1 Si 0.5000 0.0000 0.6315
Li1 Li 0.5000 0.5000 0.5000
Ir1 Ir 0.0000 0.5000 0.1281
Ir2 Ir 0.5000 0.0000 0.8719
Si2 Si 0.0000 0.5000 0.3685
Er1 Er 0.5000 0.0000 0.2459
Si3 Si 0.5000 0.5000 0.0000
Er2 Er 0.0000 0.5000 0.7541
Ir3 Ir 0.0000 0.0000 0.5000
Si4 Si 0.0000 0.0000 0.0000
# DOS at the Fermi energy = 4.80 states/eV per cell
# E_form (uncorrected) = -0.90 eV per atom
# calculated total energy = -6.830 eV per atom
# SG = No. 115